No. 1
A relaxed structure of NaGdZnSe3, computed with PBE.

abc: 11.0446 4.0813 13.6053
angles: 90.00 90.00 90.00
Closest atoms and distances in Å follow each position.
Fractional positions:
Se 0.7381 0.2500 0.3300  2 Zn 2.55
Na 0.7178 0.2500 0.0055  7 Se 3.15-3.41
Se 0.9085 0.7500 0.1055  1 Zn 2.45
Gd 0.0151 0.7500 0.7594  6 Se 2.87-2.98
Se 0.5915 0.2500 0.6055  1 Zn 2.45
Se 0.7619 0.7500 0.8300  2 Zn 2.55
Na 0.2822 0.7500 0.9945  7 Se 3.15-3.41
Se 0.5507 0.7500 0.1180  1 Zn 2.45
Se 0.4493 0.2500 0.8820  1 Zn 2.45
Se 0.2619 0.7500 0.6700  2 Zn 2.55
Se 0.9493 0.2500 0.6180  1 Zn 2.45
Se 0.0507 0.7500 0.3820  1 Zn 2.45
Gd 0.9849 0.2500 0.2406  6 Se 2.87-2.98
Se 0.2381 0.2500 0.1700  2 Zn 2.55
Se 0.4085 0.7500 0.3945  1 Zn 2.45
Gd 0.5151 0.7500 0.7406  6 Se 2.87-2.98
Na 0.2178 0.2500 0.4945  7 Se 3.15-3.41
Na 0.7822 0.7500 0.5055  7 Se 3.15-3.41
Se 0.0915 0.2500 0.8945  1 Zn 2.45
Zn 0.7647 0.2500 0.7177  4 Se 2.45-2.55
Gd 0.4849 0.2500 0.2594  6 Se 2.87-2.98
Zn 0.7353 0.7500 0.2177  4 Se 2.45-2.55
Zn 0.2647 0.2500 0.7823  4 Se 2.45-2.55
Zn 0.2353 0.7500 0.2823  4 Se 2.45-2.55

## Properties
density	5.23	g/cm3
energy relative to the lowest polymorph listed for this composition	0.4	meV per atom


No. 2
A relaxed structure of NaGdZnSe3, computed with PBE.

abc: 7.1280 7.1280 11.0214
angles: 90.00 90.00 146.80
Closest atoms and distances in Å follow each position.
Fractional positions:
Gd 0.0000 0.0000 0.0000  6 Se 2.88-2.96
Se 0.3620 0.6380 0.9289  1 Zn 2.45
Se 0.6380 0.3620 0.4289  1 Zn 2.45
Na 0.2432 0.7568 0.2500  6 Se 3.16-3.18, 2 Zn 3.53
Gd 0.0000 0.0000 0.5000  6 Se 2.88-2.96
Se 0.0801 0.9199 0.7500  2 Zn 2.55
Na 0.7568 0.2432 0.7500  6 Se 3.16-3.18, 2 Zn 3.53
Se 0.9199 0.0801 0.2500  2 Zn 2.55
Zn 0.4680 0.5320 0.7500  4 Se 2.45-2.55
Zn 0.5320 0.4680 0.2500  4 Se 2.45-2.55
Se 0.6380 0.3620 0.0711  1 Zn 2.45
Se 0.3620 0.6380 0.5711  1 Zn 2.45

## Properties
density	5.23	g/cm3
energy relative to the lowest polymorph listed for this composition	0.0	meV per atom


No. 3
A relaxed structure of NaGdZnSe3, computed with PBE.

abc: 8.3094 4.1827 16.6298
angles: 90.00 90.00 90.00
Closest atoms and distances in Å follow each position.
Fractional positions:
Se 0.1967 0.2500 0.2156  1 Zn 2.39
Se 0.8738 0.2500 0.0572  1 Zn 2.51
Gd 0.7611 0.7500 0.9524  7 Se 2.82-3.10
Gd 0.2611 0.7500 0.5476  7 Se 2.82-3.10
Zn 0.3719 0.7500 0.8554  4 Se 2.39-2.55
Se 0.1262 0.7500 0.9428  1 Zn 2.51
Se 0.3033 0.7500 0.7156  1 Zn 2.39
Na 0.4327 0.7500 0.2777  5 Se 3.03-3.25
Se 0.6967 0.2500 0.2844  1 Zn 2.39
Zn 0.1281 0.2500 0.3554  4 Se 2.39-2.55
Zn 0.8719 0.7500 0.6446  4 Se 2.39-2.55
Se 0.4997 0.7500 0.0854  2 Zn 2.55
Se 0.6262 0.7500 0.5572  1 Zn 2.51
Gd 0.2389 0.2500 0.0476  7 Se 2.82-3.10
Na 0.9327 0.7500 0.2223  5 Se 3.03-3.25
Zn 0.6281 0.2500 0.1446  4 Se 2.39-2.55
Se 0.8033 0.7500 0.7844  1 Zn 2.39
Se 0.9997 0.7500 0.4146  2 Zn 2.55
Se 0.0003 0.2500 0.5854  2 Zn 2.55
Se 0.5003 0.2500 0.9146  2 Zn 2.55
Na 0.5673 0.2500 0.7223  5 Se 3.03-3.25
Se 0.3738 0.2500 0.4428  1 Zn 2.51
Na 0.0673 0.2500 0.7777  5 Se 3.03-3.25
Gd 0.7389 0.2500 0.4524  7 Se 2.82-3.10

## Properties
density	5.55	g/cm3
energy relative to the lowest polymorph listed for this composition	81.9	meV per atom